Record 1
Here is In12Au3O5 after structural relaxation from Alexandria. Energies are from GGA-PBE.

Properties
E_tot = -77.01 eV per formula unit
Symmetry = Ia-3d, No. 230
Magnetization = 0.000 Bohr magnetons per cell
N(E_F) = 9.4 states/eV/f.u.
Formation energy (no corrections) = -476 meV/atom

a = 13.038 Å, b = 13.038 Å, c = 13.038 Å
α = 109.47°, β = 109.47°, γ = 109.47°
Atoms (fractional coordinates):
Au 0.750 0.375 0.125
Au 0.875 0.750 0.125
Au 0.375 0.750 0.625
Au 0.250 0.125 0.375
Au 0.875 0.125 0.250
Au 0.375 0.625 0.250
Au 0.625 0.375 0.750
Au 0.125 0.875 0.750
Au 0.750 0.875 0.625
Au 0.625 0.250 0.375
Au 0.125 0.250 0.875
Au 0.250 0.625 0.875
O 0.125 0.375 0.250
O 0.000 0.500 0.000
O 0.000 0.000 0.000
O 0.375 0.250 0.125
O 0.500 0.000 0.500
O 0.500 0.500 0.000
O 0.125 0.750 0.375
O 0.750 0.125 0.875
O 0.750 0.625 0.375
O 0.375 0.125 0.750
O 0.625 0.875 0.250
O 0.500 0.500 0.500
O 0.500 0.000 0.000
O 0.000 0.000 0.500
O 0.250 0.375 0.625
O 0.250 0.875 0.125
O 0.000 0.500 0.500
O 0.875 0.250 0.625
O 0.625 0.750 0.875
O 0.875 0.625 0.750
In 0.715 0.124 0.034
In 0.319 0.534 0.411
In 0.966 0.376 0.285
In 0.534 0.215 0.124
In 0.591 0.715 0.681
In 0.966 0.589 0.181
In 0.319 0.785 0.409
In 0.089 0.909 0.124
In 0.589 0.966 0.681
In 0.715 0.591 0.181
In 0.785 0.466 0.376
In 0.819 0.911 0.034
In 0.124 0.715 0.534
In 0.376 0.411 0.091
In 0.091 0.911 0.376
In 0.409 0.124 0.589
In 0.091 0.181 0.215
In 0.466 0.681 0.089
In 0.819 0.909 0.285
In 0.124 0.409 0.089
In 0.376 0.966 0.785
In 0.589 0.624 0.409
In 0.911 0.819 0.534
In 0.785 0.319 0.909
In 0.411 0.376 0.591
In 0.089 0.181 0.466
In 0.215 0.681 0.091
In 0.181 0.091 0.715
In 0.624 0.034 0.215
In 0.876 0.591 0.911
In 0.534 0.319 0.911
In 0.591 0.876 0.411
In 0.909 0.819 0.785
In 0.909 0.089 0.624
In 0.876 0.285 0.466
In 0.181 0.089 0.966
In 0.624 0.589 0.909
In 0.411 0.034 0.319
In 0.285 0.409 0.819
In 0.215 0.534 0.624
In 0.911 0.091 0.876
In 0.681 0.215 0.591
In 0.466 0.785 0.876
In 0.034 0.411 0.819
In 0.409 0.285 0.319
In 0.034 0.624 0.715
In 0.681 0.466 0.589
In 0.285 0.876 0.966

Record 2
Here is In3AuO6 after structural relaxation from Alexandria. Energies are from GGA-PBE.

Properties
E_tot = -51.64 eV per formula unit
Symmetry = Cmc2_1, No. 36
Magnetization = 0.000 Bohr magnetons per cell
N(E_F) = 0.1 states/eV/f.u.
Formation energy (no corrections) = -1040 meV/atom

a = 5.481 Å, b = 7.007 Å, c = 7.007 Å
α = 102.65°, β = 90.00°, γ = 90.00°
Atoms (fractional coordinates):
In 0.457 0.905 0.656
In 0.957 0.656 0.905
In 0.402 0.398 0.602
In 0.902 0.602 0.398
In 0.957 0.095 0.344
In 0.457 0.344 0.095
Au 0.974 0.130 0.870
Au 0.474 0.870 0.130
O 0.169 0.684 0.641
O 0.669 0.641 0.684
O 0.200 0.418 0.887
O 0.700 0.887 0.418
O 0.309 0.042 0.958
O 0.649 0.213 0.787
O 0.149 0.787 0.213
O 0.809 0.958 0.042
O 0.200 0.113 0.582
O 0.700 0.582 0.113
O 0.169 0.359 0.316
O 0.669 0.316 0.359

Record 3
Here is InAu3O6 after structural relaxation from Alexandria. Energies are from GGA-PBE.

Properties
E_tot = -45.34 eV per formula unit
Symmetry = Cmmm, No. 65
Magnetization = 0.000 Bohr magnetons per cell
N(E_F) = 5.8 states/eV/f.u.
Formation energy (no corrections) = -302 meV/atom

a = 3.649 Å, b = 6.301 Å, c = 6.301 Å
α = 111.16°, β = 90.00°, γ = 90.00°
Atoms (fractional coordinates):
In 0.000 0.500 0.500
Au 0.500 0.500 0.000
Au 0.000 0.000 0.000
Au 0.500 0.000 0.500
O 0.000 0.085 0.339
O 0.000 0.915 0.661
O 0.000 0.339 0.085
O 0.000 0.661 0.915
O 0.500 0.636 0.364
O 0.500 0.364 0.636

Record 4
Here is InP2AuO after structural relaxation from Alexandria. Energies are from GGA-PBE.

Properties
E_tot = -18.60 eV per formula unit
Symmetry = P4/mmm, No. 123
Magnetization = 0.192 Bohr magnetons per cell
N(E_F) = 6.2 states/eV/f.u.
Formation energy (no corrections) = 639 meV/atom

a = 4.997 Å, b = 4.997 Å, c = 3.999 Å
α = 90.00°, β = 90.00°, γ = 90.00°
Atoms (fractional coordinates):
P 0.000 0.500 0.000
P 0.500 0.000 0.000
Au 0.000 0.000 0.000
O 0.000 0.000 0.500
In 0.500 0.500 0.500

Record 5
Here is InP2AuO8 after structural relaxation from Alexandria. Energies are from GGA-PBE.

Properties
E_tot = -72.69 eV per formula unit
Symmetry = R-3, No. 148
Magnetization = 2.074 Bohr magnetons per cell
N(E_F) = 7.1 states/eV/f.u.
Formation energy (no corrections) = -1349 meV/atom

a = 4.894 Å, b = 4.894 Å, c = 7.757 Å
α = 71.61°, β = 71.61°, γ = 60.00°
Atoms (fractional coordinates):
In 0.000 0.000 0.000
P 0.251 0.251 0.246
P 0.749 0.749 0.754
Au 0.500 0.500 0.500
O 0.179 0.179 0.464
O 0.572 0.275 0.182
O 0.821 0.821 0.536
O 0.971 0.572 0.182
O 0.029 0.428 0.818
O 0.275 0.971 0.182
O 0.725 0.029 0.818
O 0.428 0.725 0.818

Record 6
Here is InP2AuO after structural relaxation from Alexandria. Energies are from GGA-PBE.

Properties
E_tot = -17.84 eV per formula unit
Symmetry = P4/mmm, No. 123
Magnetization = 0.003 Bohr magnetons per cell
N(E_F) = 6.3 states/eV/f.u.
Formation energy (no corrections) = 791 meV/atom

a = 5.167 Å, b = 5.167 Å, c = 3.916 Å
α = 90.00°, β = 90.00°, γ = 90.00°
Atoms (fractional coordinates):
P 0.000 0.500 0.000
P 0.500 0.000 0.000
Au 0.500 0.500 0.500
O 0.000 0.000 0.500
In 0.000 0.000 0.000

Record 7
Here is PaInAu2O8 after structural relaxation from Alexandria. Energies are from GGA-PBE.

Properties
E_tot = -70.56 eV per formula unit
Symmetry = I-4m2, No. 119
Magnetization = 0.000 Bohr magnetons per cell
N(E_F) = 8.1 states/eV/f.u.
Formation energy (no corrections) = -1009 meV/atom

a = 6.111 Å, b = 6.111 Å, c = 6.111 Å
α = 109.59°, β = 109.59°, γ = 109.23°
Atoms (fractional coordinates):
Pa 0.250 0.750 0.500
In 0.000 0.000 0.000
Au 0.750 0.250 0.500
Au 0.500 0.500 0.000
O 0.346 0.024 0.322
O 0.270 0.450 0.179
O 0.270 0.091 0.821
O 0.702 0.024 0.678
O 0.909 0.730 0.179
O 0.976 0.298 0.322
O 0.976 0.654 0.678
O 0.550 0.730 0.821

Record 8
Here is Pm4InAuO after structural relaxation from Alexandria. Energies are from GGA-PBE.

Properties
E_tot = -37.91 eV per formula unit
Symmetry = Cmcm, No. 63
Magnetization = 0.000 Bohr magnetons per cell
N(E_F) = 3.7 states/eV/f.u.
Formation energy (no corrections) = -1133 meV/atom

a = 6.850 Å, b = 6.873 Å, c = 8.573 Å
α = 90.00°, β = 113.55°, γ = 90.00°
Atoms (fractional coordinates):
Pm 0.938 0.250 0.877
Pm 0.419 0.750 0.838
Pm 0.062 0.750 0.123
Pm 0.581 0.250 0.162
Pm 0.500 0.500 0.500
Pm 0.000 0.000 0.500
Pm 0.500 0.000 0.500
Pm 0.000 0.500 0.500
In 0.615 0.750 0.231
In 0.385 0.250 0.769
Au 0.122 0.250 0.244
Au 0.878 0.750 0.756
O 0.257 0.750 0.515
O 0.743 0.250 0.485

Record 9
Here is Pr4InAuO after structural relaxation from Alexandria. Energies are from GGA-PBE.

Properties
E_tot = -37.75 eV per formula unit
Symmetry = Cmcm, No. 63
Magnetization = 0.000 Bohr magnetons per cell
N(E_F) = 4.3 states/eV/f.u.
Formation energy (no corrections) = -1095 meV/atom

a = 6.977 Å, b = 7.002 Å, c = 8.692 Å
α = 90.00°, β = 113.66°, γ = 90.00°
Atoms (fractional coordinates):
Pr 0.939 0.250 0.877
Pr 0.420 0.750 0.839
Pr 0.061 0.750 0.123
Pr 0.580 0.250 0.161
Pr 0.500 0.500 0.500
Pr 0.000 0.000 0.500
Pr 0.500 0.000 0.500
Pr 0.000 0.500 0.500
In 0.616 0.750 0.231
In 0.384 0.250 0.769
Au 0.122 0.250 0.244
Au 0.878 0.750 0.756
O 0.256 0.750 0.513
O 0.744 0.250 0.487

Record 10
Here is InPtAu2O after structural relaxation from Alexandria. Energies are from GGA-PBE.

Properties
E_tot = -17.60 eV per formula unit
Symmetry = P4/mmm, No. 123
Magnetization = 0.000 Bohr magnetons per cell
N(E_F) = 1.7 states/eV/f.u.
Formation energy (no corrections) = 537 meV/atom

a = 5.242 Å, b = 3.830 Å, c = 5.242 Å
α = 90.00°, β = 90.00°, γ = 90.00°
Atoms (fractional coordinates):
Au 0.000 0.000 0.500
Au 0.500 0.000 0.000
O 0.000 0.500 0.000
Pt 0.500 0.500 0.500
In 0.000 0.000 0.000

Record 11
Here is PuInAuO6 after structural relaxation from Alexandria. Energies are from GGA-PBE.

Properties
E_tot = -62.11 eV per formula unit
Symmetry = P-31c, No. 163
Magnetization = 3.276 Bohr magnetons per cell
N(E_F) = 6.0 states/eV/f.u.
Formation energy (no corrections) = -1335 meV/atom

a = 5.531 Å, b = 5.531 Å, c = 9.390 Å
α = 90.00°, β = 90.00°, γ = 120.00°
Atoms (fractional coordinates):
Pu 0.667 0.333 0.250
Pu 0.333 0.667 0.750
In 0.333 0.667 0.250
In 0.667 0.333 0.750
Au 0.000 0.000 0.000
Au 0.000 0.000 0.500
O 0.662 0.639 0.130
O 0.977 0.338 0.130
O 0.338 0.977 0.630
O 0.023 0.662 0.870
O 0.361 0.338 0.370
O 0.977 0.639 0.370
O 0.639 0.977 0.870
O 0.662 0.023 0.370
O 0.023 0.361 0.630
O 0.361 0.023 0.130
O 0.639 0.662 0.630
O 0.338 0.361 0.870

Record 12
Here is Rb2InAuO4 after structural relaxation from Alexandria. Energies are from GGA-PBE.

Properties
E_tot = -35.36 eV per formula unit
Symmetry = Fddd, No. 70
Magnetization = 0.000 Bohr magnetons per cell
N(E_F) = 0.0 states/eV/f.u.
Formation energy (no corrections) = -947 meV/atom

a = 6.198 Å, b = 7.762 Å, c = 11.107 Å
α = 83.60°, β = 73.80°, γ = 66.47°
Atoms (fractional coordinates):
Rb 0.180 0.000 0.640
Rb 0.820 0.000 0.360
Rb 0.570 0.500 0.860
Rb 0.930 0.500 0.140
In 0.750 0.500 0.500
In 0.000 0.000 0.000
Au 0.250 0.500 0.500
Au 0.500 0.000 0.000
O 0.353 0.808 0.002
O 0.162 0.192 0.998
O 0.840 0.808 0.998
O 0.645 0.192 0.002
O 0.397 0.692 0.498
O 0.588 0.308 0.502
O 0.910 0.692 0.502
O 0.105 0.308 0.498

Record 13
Here is InRe2AuO after structural relaxation from Alexandria. Energies are from GGA-PBE.

Properties
E_tot = -26.08 eV per formula unit
Symmetry = P4/mmm, No. 123
Magnetization = 5.131 Bohr magnetons per cell
N(E_F) = 4.6 states/eV/f.u.
Formation energy (no corrections) = 1958 meV/atom

a = 5.146 Å, b = 3.835 Å, c = 5.146 Å
α = 90.00°, β = 90.00°, γ = 90.00°
Atoms (fractional coordinates):
Re 0.000 0.000 0.500
Re 0.500 0.000 0.000
Au 0.000 0.000 0.000
O 0.000 0.500 0.000
In 0.500 0.500 0.500

Record 14
Here is Sc4InAuO after structural relaxation from Alexandria. Energies are from GGA-PBE.

Properties
E_tot = -44.64 eV per formula unit
Symmetry = Cmcm, No. 63
Magnetization = 0.000 Bohr magnetons per cell
N(E_F) = 3.9 states/eV/f.u.
Formation energy (no corrections) = -1191 meV/atom

a = 6.187 Å, b = 6.188 Å, c = 7.865 Å
α = 90.00°, β = 113.16°, γ = 90.00°
Atoms (fractional coordinates):
Sc 0.931 0.250 0.862
Sc 0.412 0.750 0.824
Sc 0.069 0.750 0.138
Sc 0.588 0.250 0.176
Sc 0.500 0.500 0.500
Sc 0.000 0.000 0.500
Sc 0.500 0.000 0.500
Sc 0.000 0.500 0.500
In 0.611 0.750 0.222
In 0.389 0.250 0.778
Au 0.119 0.250 0.238
Au 0.881 0.750 0.762
O 0.253 0.750 0.506
O 0.747 0.250 0.494

Record 15
Here is InAu2SeO after structural relaxation from Alexandria. Energies are from GGA-PBE.

Properties
E_tot = -11.90 eV per formula unit
Symmetry = P4/mmm, No. 123
Magnetization = 0.000 Bohr magnetons per cell
N(E_F) = 14.3 states/eV/f.u.
Formation energy (no corrections) = 1168 meV/atom

a = 5.257 Å, b = 5.190 Å, c = 5.257 Å
α = 90.00°, β = 90.00°, γ = 90.00°
Atoms (fractional coordinates):
Au 0.000 0.000 0.500
Au 0.500 0.000 0.000
O 0.500 0.500 0.500
Se 0.000 0.500 0.000
In 0.000 0.000 0.000

Record 16
Here is InSiAu2O after structural relaxation from Alexandria. Energies are from GGA-PBE.

Properties
E_tot = -17.67 eV per formula unit
Symmetry = P4/mmm, No. 123
Magnetization = 0.000 Bohr magnetons per cell
N(E_F) = 2.8 states/eV/f.u.
Formation energy (no corrections) = 400 meV/atom

a = 4.491 Å, b = 4.672 Å, c = 4.491 Å
α = 90.00°, β = 90.00°, γ = 90.00°
Atoms (fractional coordinates):
Si 0.500 0.500 0.500
Au 0.000 0.000 0.500
Au 0.500 0.000 0.000
O 0.000 0.000 0.000
In 0.000 0.500 0.000

Record 17
Here is Sr3InAu2O6 after structural relaxation from Alexandria. Energies are from GGA-PBE.

Properties
E_tot = -60.46 eV per formula unit
Symmetry = P-3m1, No. 164
Magnetization = 0.000 Bohr magnetons per cell
N(E_F) = 5.7 states/eV/f.u.
Formation energy (no corrections) = -1365 meV/atom

a = 5.960 Å, b = 5.960 Å, c = 6.545 Å
α = 90.00°, β = 90.00°, γ = 120.00°
Atoms (fractional coordinates):
Sr 0.333 0.667 0.606
Sr 0.667 0.333 0.394
Sr 0.000 0.000 0.000
In 0.000 0.000 0.500
Au 0.667 0.333 0.901
Au 0.333 0.667 0.099
O 0.667 0.834 0.307
O 0.166 0.333 0.307
O 0.166 0.834 0.307
O 0.834 0.667 0.693
O 0.333 0.166 0.693
O 0.834 0.166 0.693

Record 18
Here is Tb4InAuO after structural relaxation from Alexandria. Energies are from GGA-PBE.

Properties
E_tot = -37.77 eV per formula unit
Symmetry = Cmcm, No. 63
Magnetization = 0.000 Bohr magnetons per cell
N(E_F) = 3.3 states/eV/f.u.
Formation energy (no corrections) = -1183 meV/atom

a = 6.669 Å, b = 6.685 Å, c = 8.395 Å
α = 90.00°, β = 113.40°, γ = 90.00°
Atoms (fractional coordinates):
Tb 0.938 0.250 0.876
Tb 0.418 0.750 0.836
Tb 0.062 0.750 0.124
Tb 0.582 0.250 0.164
Tb 0.500 0.500 0.500
Tb 0.000 0.000 0.500
Tb 0.500 0.000 0.500
Tb 0.000 0.500 0.500
In 0.615 0.750 0.230
In 0.385 0.250 0.770
Au 0.122 0.250 0.244
Au 0.878 0.750 0.756
O 0.258 0.750 0.516
O 0.742 0.250 0.484

Record 19
Here is In2TcAuO after structural relaxation from Alexandria. Energies are from GGA-PBE.

Properties
E_tot = -18.54 eV per formula unit
Symmetry = P4/mmm, No. 123
Magnetization = 5.066 Bohr magnetons per cell
N(E_F) = 2.5 states/eV/f.u.
Formation energy (no corrections) = 1108 meV/atom

a = 5.205 Å, b = 5.253 Å, c = 5.205 Å
α = 90.00°, β = 90.00°, γ = 90.00°
Atoms (fractional coordinates):
Au 0.000 0.000 0.000
Tc 0.000 0.500 0.000
O 0.500 0.500 0.500
In 0.000 0.000 0.500
In 0.500 0.000 0.000